Record 1
Cu2HgMo: relaxed, PBE.

Results
* E_form: 0.432 eV per atom
* VASP energy: -4.3994 eV per atom

Cell: 4.6042 4.6042 5.2847 Å, 96.22 96.22 34.47°
Fractional coordinates of all 4 atoms:
Cu (0.2465, 0.2465, 0.2127)
Cu (0.7535, 0.7535, 0.7873)
Hg (0.0000, 0.0000, 0.5000)
Mo (0.5000, 0.5000, 0.0000)

***

Record 2
NdScZn3: relaxed, PBE.

Results
* E_form: -0.300 eV per atom
* VASP energy: -3.2841 eV per atom

Cell: 8.8201 8.8201 5.6154 Å, 99.89 99.89 28.89°
Fractional coordinates of all 10 atoms:
Nd (0.0718, 0.0718, 0.3266)
Nd (0.9282, 0.9282, 0.6734)
Sc (0.2817, 0.2817, 0.3195)
Sc (0.7183, 0.7183, 0.6805)
Zn (0.1510, 0.1510, 0.8828)
Zn (0.3145, 0.3145, 0.8306)
Zn (0.4423, 0.4423, 0.1648)
Zn (0.5577, 0.5577, 0.8352)
Zn (0.6855, 0.6855, 0.1694)
Zn (0.8490, 0.8490, 0.1172)

***

Record 3
Nb2Se3S: relaxed, PBE.

Results
* raw formation energy: -83.9 kJ/mol of atoms
* polymorph energy (0 for the lowest one): 23.2 meV/atom
* VASP energy: -6.6567 eV per atom

Cell: 6.9055 6.9055 6.7494 Å, 90.00 90.00 120.00°
Fractional coordinates of all 12 atoms:
Nb (0.0000, 0.0000, 0.0000)
Nb (0.0000, 0.5000, 0.0000)
Nb (0.5000, 0.0000, 0.0000)
Nb (0.5000, 0.5000, 0.0000)
Se (0.1668, 0.3335, 0.7471)
Se (0.1668, 0.8332, 0.7471)
Se (0.3335, 0.1668, 0.2529)
Se (0.6665, 0.8332, 0.7471)
Se (0.8332, 0.1668, 0.2529)
Se (0.8332, 0.6665, 0.2529)
S (0.3333, 0.6667, 0.2210)
S (0.6667, 0.3333, 0.7790)

***

Record 4
Tb3Nd6ErTm2: relaxed, PBE.

Results
* E_form: 0.013 eV per atom
* VASP energy: -4.6542 eV per atom

Cell: 6.2608 6.2608 11.8216 Å, 95.05 95.05 119.99°
Fractional coordinates of all 12 atoms:
Tb (0.0000, 0.0000, 0.0000)
Tb (0.3333, 0.6667, 0.0000)
Tb (0.6667, 0.3333, 0.0000)
Nd (0.0835, 0.4170, 0.2519)
Nd (0.2496, 0.2496, 0.7481)
Nd (0.4170, 0.0835, 0.2519)
Nd (0.5830, 0.9165, 0.7481)
Nd (0.7504, 0.7504, 0.2519)
Nd (0.9165, 0.5830, 0.7481)
Er (0.5000, 0.5000, 0.5000)
Tm (0.1667, 0.8333, 0.5000)
Tm (0.8333, 0.1667, 0.5000)

***

Record 5
Sc12In3Sn: relaxed, PBE.

Results
* E_form: -0.326 eV per atom
* VASP energy: -5.8381 eV per atom

Cell: 4.5180 4.5180 18.0462 Å, 90.00 90.00 90.00°
Fractional coordinates of all 16 atoms:
Sc (0.0000, 0.0000, 0.0000)
Sc (0.0000, 0.0000, 0.2495)
Sc (0.0000, 0.0000, 0.5000)
Sc (0.0000, 0.0000, 0.7505)
Sc (0.0000, 0.5000, 0.1245)
Sc (0.0000, 0.5000, 0.3747)
Sc (0.0000, 0.5000, 0.6253)
Sc (0.0000, 0.5000, 0.8755)
Sc (0.5000, 0.0000, 0.1245)
Sc (0.5000, 0.0000, 0.3747)
Sc (0.5000, 0.0000, 0.6253)
Sc (0.5000, 0.0000, 0.8755)
In (0.5000, 0.5000, 0.2501)
In (0.5000, 0.5000, 0.5000)
In (0.5000, 0.5000, 0.7499)
Sn (0.5000, 0.5000, 0.0000)

***

Record 6
Rb2HfIn2: relaxed, PBE.

Results
* polymorph energy (0 for the lowest one): 0.0 meV/atom
* E_form: 0.791 eV per atom
* VASP energy: -2.6822 eV per atom

Cell: 13.1973 13.1973 13.1973 Å, 162.24 162.24 25.21°
Fractional coordinates of all 5 atoms:
Rb (0.1134, 0.1134, 0.0000)
Rb (0.8866, 0.8866, 0.0000)
Hf (0.5000, 0.5000, 0.0000)
In (0.2500, 0.7500, 0.5000)
In (0.7500, 0.2500, 0.5000)

***

Record 7
Pm6Sm12Y: relaxed, PBE.

Results
* polymorph energy (0 for the lowest one): 276.2 meV/atom
* E_form: 0.414 eV per atom
* VASP energy: -4.4065 eV per atom

Cell: 9.6167 9.6167 9.6167 Å, 109.44 109.44 109.44°
Fractional coordinates of all 19 atoms:
Pm (0.2228, 0.6695, 0.6695)
Pm (0.3305, 0.3305, 0.7772)
Pm (0.3305, 0.7772, 0.3305)
Pm (0.6695, 0.2228, 0.6695)
Pm (0.6695, 0.6695, 0.2228)
Pm (0.7772, 0.3305, 0.3305)
Sm (0.1064, 0.5000, 0.8936)
Sm (0.1064, 0.8936, 0.5000)
Sm (0.1770, 0.3802, 0.3802)
Sm (0.3802, 0.1770, 0.3802)
Sm (0.3802, 0.3802, 0.1770)
Sm (0.5000, 0.1064, 0.8936)
Sm (0.5000, 0.8936, 0.1064)
Sm (0.6198, 0.6198, 0.8230)
Sm (0.6198, 0.8230, 0.6198)
Sm (0.8230, 0.6198, 0.6198)
Sm (0.8936, 0.1064, 0.5000)
Sm (0.8936, 0.5000, 0.1064)
Y (0.0000, 0.0000, 0.0000)

***

Record 8
K2Tl8Hg: relaxed, PBE.

Results
* E_form: -0.021 eV per atom
* VASP energy: -1.9691 eV per atom

Cell: 5.2272 5.2272 13.1009 Å, 90.00 90.00 90.00°
Fractional coordinates of all 11 atoms:
K (0.0000, 0.0000, 0.1855)
K (0.0000, 0.0000, 0.8145)
Tl (0.0000, 0.5000, 0.0000)
Tl (0.0000, 0.5000, 0.3668)
Tl (0.0000, 0.5000, 0.6332)
Tl (0.5000, 0.0000, 0.0000)
Tl (0.5000, 0.0000, 0.3668)
Tl (0.5000, 0.0000, 0.6332)
Tl (0.5000, 0.5000, 0.1761)
Tl (0.5000, 0.5000, 0.8239)
Hg (0.0000, 0.0000, 0.5000)

***

For each record above, in turn, the calculated volume values are 15.7 20.8 23.2 32.9 23.0 42.7 36.1 32.5 Å³ per atom.